Computed, not measured: crystalline Cs2MgBiBr6 at its relaxed geometry at the PBE-GGA level of DFT.

Final energy ... -2.992 eV/atom
Symmetry ... I4/mmm (139)
ΔE_f (raw) ... -12.7 eV per formula unit

a = 8.0834 Å, b = 8.0834 Å, c = 8.0957 Å
α = 60.05°, β = 60.05°, γ = 90.00°
Last column: nearest neighbours and their distance in Å.
Fractional coordinates of all 10 atoms:
1 Mg 0.5000 0.5000 0.0000  6 Br 2.72-2.75
2 Cs 0.2500 0.7500 0.5000  12 Br 4.04-4.05
3 Cs 0.7500 0.2500 0.5000  12 Br 4.04-4.05
4 Bi 0.0000 0.0000 0.0000  6 Br 2.96-3.02
5 Br 0.2630 0.2630 0.4740  1 Mg 2.72, 1 Bi 3.02
6 Br 0.2593 0.7407 0.0000  1 Mg 2.75, 1 Bi 2.96
7 Br 0.7370 0.7370 0.5260  1 Mg 2.72, 1 Bi 3.02
8 Br 0.7407 0.7407 0.0000  1 Mg 2.75, 1 Bi 2.96
9 Br 0.2593 0.2593 0.0000  1 Mg 2.75, 1 Bi 2.96
10 Br 0.7407 0.2593 0.0000  1 Mg 2.75, 1 Bi 2.96


Computed, not measured: crystalline ZnReP2 at its relaxed geometry at the PBE-GGA level of DFT.

Final energy ... -5.983 eV/atom
Symmetry ... Pmmm (47)
DFT formation energy ... 0.1524 eV per atom

a = 4.1371 Å, b = 3.2412 Å, c = 4.5771 Å
α = 89.97°, β = 90.00°, γ = 90.00°
Last column: nearest neighbours and their distance in Å.
Fractional coordinates of all 4 atoms:
1 Re 0.5000 0.2500 0.2500  4 P 2.40
2 P 0.0000 0.2504 0.9846  1 P 2.15, 2 Re 2.40
3 P 0.0000 0.2496 0.5154  1 P 2.15, 2 Re 2.40
4 Zn 0.5000 0.7500 0.7500  4 Re 2.80, 8 P 2.84


Computed, not measured: crystalline TaPt2 at its relaxed geometry at the PBE-GGA level of DFT.

Final energy ... -8.747 eV/atom
Symmetry ... Cmcm (63)
DFT formation energy ... -0.7688 eV per atom

a = 4.8881 Å, b = 4.8881 Å, c = 4.7936 Å
α = 90.00°, β = 90.00°, γ = 120.58°
Last column: nearest neighbours and their distance in Å.
Fractional coordinates of all 6 atoms:
1 Pt 0.4439 0.1200 0.7500  5 Ta 2.74-2.87, 5 Pt 2.75-2.85
2 Pt 0.8800 0.5561 0.2500  5 Ta 2.74-2.87, 5 Pt 2.75-2.85
3 Pt 0.1200 0.4439 0.7500  5 Ta 2.74-2.87, 5 Pt 2.75-2.85
4 Pt 0.5561 0.8800 0.2500  5 Ta 2.74-2.87, 5 Pt 2.75-2.85
5 Ta 0.7701 0.7701 0.7500  10 Pt 2.74-2.87
6 Ta 0.2299 0.2299 0.2500  10 Pt 2.74-2.87


Computed, not measured: crystalline La6Pr2Th at its relaxed geometry at the PBE-GGA level of DFT.

Final energy ... -5.108 eV/atom
Symmetry ... P-6m2 (187)
DFT formation energy ... 0.0634 eV per atom

a = 3.6862 Å, b = 3.6862 Å, c = 27.8600 Å
α = 90.00°, β = 90.00°, γ = 120.00°
Last column: nearest neighbours and their distance in Å.
Fractional coordinates of all 9 atoms:
1 Pr 0.3333 0.6667 0.3306  6 Pr 3.69, 6 La 3.69-3.77
2 Pr 0.3333 0.6667 0.6694  6 Pr 3.69, 6 La 3.69-3.77
3 La 0.3333 0.6667 0.1057  3 Th 3.63, 9 La 3.69-3.81
4 La 0.0000 0.0000 0.5610  7 La 3.40-3.69, 3 Pr 3.69
5 La 0.0000 0.0000 0.4390  7 La 3.40-3.69, 3 Pr 3.69
6 La 0.0000 0.0000 0.7811  9 La 3.69-3.81, 3 Pr 3.77
7 La 0.0000 0.0000 0.2189  9 La 3.69-3.81, 3 Pr 3.77
8 La 0.3333 0.6667 0.8943  3 Th 3.63, 9 La 3.69-3.81
9 Th 0.0000 0.0000 0.0000  6 La 3.63, 6 Th 3.69


Computed, not measured: crystalline VNi3Ge at its relaxed geometry at the PBE-GGA level of DFT.

Final energy ... -5.546 eV/atom
Symmetry ... Pm-3m (221)
DFT formation energy ... 0.6703 eV per atom

a = 4.2875 Å, b = 4.2875 Å, c = 4.2875 Å
α = 90.00°, β = 90.00°, γ = 90.00°
Last column: nearest neighbours and their distance in Å.
Fractional coordinates of all 5 atoms:
1 Ni 0.0000 0.0000 0.5000  2 Ge 2.14
2 Ni 0.5000 0.0000 0.0000  2 Ge 2.14
3 Ni 0.0000 0.5000 0.0000  2 Ge 2.14
4 Ge 0.0000 0.0000 0.0000  6 Ni 2.14
5 V 0.5000 0.5000 0.5000  12 Ni 3.03


Computed, not measured: crystalline Pr5Er4Sc at its relaxed geometry at the PBE-GGA level of DFT.

Final energy ... -4.712 eV/atom
Symmetry ... C2/m (12)
DFT formation energy ... 0.1362 eV per atom

a = 3.5904 Å, b = 10.3898 Å, c = 9.2724 Å
α = 84.28°, β = 101.16°, γ = 90.00°
Last column: nearest neighbours and their distance in Å.
Fractional coordinates of all 10 atoms:
1 Er 0.9550 0.7723 0.9100  2 Sc 3.14, 2 Er 3.30, 4 Pr 3.31-3.38
2 Er 0.3188 0.9183 0.6375  6 Er 3.30-3.59, 1 Sc 3.49
3 Er 0.6812 0.0817 0.3625  6 Er 3.30-3.59, 1 Sc 3.49
4 Er 0.0450 0.2277 0.0900  2 Sc 3.14, 2 Er 3.30, 4 Pr 3.31-3.38
5 Pr 0.8599 0.2253 0.7197  2 Er 3.37-3.71, 2 Pr 3.59, 2 Sc 3.74
6 Pr 0.5000 0.5000 0.0000  4 Er 3.38, 2 Pr 3.59
7 Pr 0.1895 0.3970 0.3791  1 Er 3.31, 4 Pr 3.59-3.69
8 Pr 0.1401 0.7747 0.2803  2 Er 3.37-3.71, 2 Pr 3.59, 2 Sc 3.74
9 Pr 0.8105 0.6030 0.6209  1 Er 3.31, 4 Pr 3.59-3.69
10 Sc 0.5000 0.0000 0.0000  6 Er 3.14-3.49


Computed, not measured: crystalline SmTm2Pb at its relaxed geometry at the PBE-GGA level of DFT.

Final energy ... -4.285 eV/atom
Symmetry ... R-3m (166)
DFT formation energy ... 0.0581 eV per atom

a = 3.5221 Å, b = 3.5221 Å, c = 12.1236 Å
α = 81.65°, β = 81.65°, γ = 60.00°
Last column: nearest neighbours and their distance in Å.
Fractional coordinates of all 4 atoms:
1 Tm 0.9124 0.9124 0.2628  1 Pb 3.14, 3 Sm 3.49
2 Tm 0.0876 0.0876 0.7372  1 Pb 3.14, 3 Sm 3.49
3 Pb 0.0000 0.0000 0.0000  2 Tm 3.14
4 Sm 0.5000 0.5000 0.5000  6 Tm 3.49, 6 Sm 3.52


Computed, not measured: crystalline Pr5Al4Hg at its relaxed geometry at the PBE-GGA level of DFT.

Final energy ... -4.280 eV/atom
Symmetry ... P4/mmm (123)
DFT formation energy ... -0.3635 eV per atom

a = 3.7421 Å, b = 3.7421 Å, c = 19.3004 Å
α = 90.00°, β = 90.00°, γ = 90.00°
Last column: nearest neighbours and their distance in Å.
Fractional coordinates of all 10 atoms:
1 Al 0.0000 0.0000 0.5975  8 Pr 3.25
2 Al 0.0000 0.0000 0.2049  8 Pr 3.24-3.27
3 Al 0.0000 0.0000 0.7951  8 Pr 3.24-3.27
4 Al 0.0000 0.0000 0.4025  8 Pr 3.25
5 Hg 0.0000 0.0000 0.0000  8 Pr 3.37, 4 Hg 3.74
6 Pr 0.5000 0.5000 0.5000  8 Al 3.25
7 Pr 0.5000 0.5000 0.6952  8 Al 3.25-3.27
8 Pr 0.5000 0.5000 0.1079  4 Al 3.24, 4 Hg 3.37
9 Pr 0.5000 0.5000 0.3048  8 Al 3.25-3.27
10 Pr 0.5000 0.5000 0.8921  4 Al 3.24, 4 Hg 3.37


Computed, not measured: crystalline RbAgRh3 at its relaxed geometry at the PBE-GGA level of DFT.

Final energy ... -3.735 eV/atom
Symmetry ... Pm-3m (221)
DFT formation energy ... 1.4392 eV per atom

a = 5.0185 Å, b = 5.0185 Å, c = 5.0185 Å
α = 90.00°, β = 90.00°, γ = 90.00°
Last column: nearest neighbours and their distance in Å.
Fractional coordinates of all 5 atoms:
1 Rb 0.5000 0.5000 0.5000  12 Rh 3.55
2 Rh 0.0000 0.0000 0.5000  2 Ag 2.51
3 Rh 0.0000 0.5000 0.0000  2 Ag 2.51
4 Rh 0.5000 0.0000 0.0000  2 Ag 2.51
5 Ag 0.0000 0.0000 0.0000  6 Rh 2.51


Computed, not measured: crystalline ReHg3O4 at its relaxed geometry at the PBE-GGA level of DFT.

Final energy ... -5.087 eV/atom
Symmetry ... Imm2 (44)
ΔE_f (raw) ... -7.5 eV per formula unit

a = 8.2574 Å, b = 7.2271 Å, c = 7.2271 Å
α = 36.93°, β = 55.16°, γ = 55.16°
Last column: nearest neighbours and their distance in Å.
Fractional coordinates of all 8 atoms:
1 O 0.3257 0.7211 0.2789  1 Re 1.75
2 O 0.6743 0.7211 0.2789  1 Re 1.75
3 O 0.6327 0.1528 0.5818  1 Re 1.76
4 O 0.3673 0.4182 0.8473  1 Re 1.76
5 Hg 0.1691 0.2732 0.3885  1 O 2.68, 2 Hg 2.92-2.97
6 Hg 0.0000 0.9493 0.0507  2 O 2.89, 4 Hg 2.92-2.97
7 Hg 0.8309 0.6115 0.7268  1 O 2.68, 2 Hg 2.92-2.97
8 Re 0.5000 0.5019 0.4981  4 O 1.75-1.76


Computed, not measured: crystalline Ti4Ga2Os at its relaxed geometry at the PBE-GGA level of DFT.

Final energy ... -7.308 eV/atom
Symmetry ... Cmmm (65)
DFT formation energy ... -0.3277 eV per atom

a = 4.0793 Å, b = 5.3998 Å, c = 5.3998 Å
α = 99.76°, β = 90.00°, γ = 90.00°
Last column: nearest neighbours and their distance in Å.
Fractional coordinates of all 7 atoms:
1 Ti 0.5000 0.0000 0.5000  4 Ga 2.68, 2 Os 2.70, 4 Ti 2.90
2 Ti 0.0000 0.7660 0.7660  4 Ga 2.69-2.72, 2 Os 2.75, 4 Ti 2.90
3 Ti 0.0000 0.2340 0.2340  4 Ga 2.69-2.72, 2 Os 2.75, 4 Ti 2.90
4 Ti 0.5000 0.5000 0.0000  4 Ga 2.68, 2 Os 2.70, 4 Ti 2.90
5 Ga 0.0000 0.7363 0.2637  8 Ti 2.68-2.72, 2 Os 2.82
6 Ga 0.0000 0.2637 0.7363  8 Ti 2.68-2.72, 2 Os 2.82
7 Os 0.5000 0.5000 0.5000  8 Ti 2.70-2.75, 4 Ga 2.82


Computed, not measured: crystalline PuSnRh2 at its relaxed geometry at the PBE-GGA level of DFT.

Final energy ... -8.657 eV/atom
Symmetry ... P4/mmm (123)
DFT formation energy ... -0.3977 eV per atom

a = 3.2537 Å, b = 3.2537 Å, c = 7.0786 Å
α = 90.00°, β = 90.00°, γ = 90.00°
Last column: nearest neighbours and their distance in Å.
Fractional coordinates of all 4 atoms:
1 Pu 0.5000 0.5000 0.0000  8 Rh 3.05, 4 Pu 3.25
2 Rh 0.0000 0.0000 0.2838  4 Sn 2.76, 4 Pu 3.05, 1 Rh 3.06
3 Rh 0.0000 0.0000 0.7162  4 Sn 2.76, 4 Pu 3.05, 1 Rh 3.06
4 Sn 0.5000 0.5000 0.5000  8 Rh 2.76


Computed, not measured: crystalline AlAgP2 at its relaxed geometry at the PBE-GGA level of DFT.

Final energy ... -4.059 eV/atom
Symmetry ... Cmmm (65)
DFT formation energy ... 0.2945 eV per atom

a = 3.0883 Å, b = 3.0883 Å, c = 7.4012 Å
α = 90.00°, β = 90.00°, γ = 108.12°
Last column: nearest neighbours and their distance in Å.
Fractional coordinates of all 4 atoms:
1 P 0.0000 0.0000 0.9761  2 Al 2.47, 2 Ag 2.72
2 P 0.0000 0.0000 0.5239  2 Al 2.47, 2 Ag 2.72
3 Al 0.5000 0.5000 0.7500  4 P 2.47
4 Ag 0.5000 0.5000 0.2500  4 P 2.72


Computed, not measured: crystalline ReBi2Ru2 at its relaxed geometry at the PBE-GGA level of DFT.

Final energy ... -6.701 eV/atom
Symmetry ... P4/mbm (127)
DFT formation energy ... 1.0515 eV per atom

a = 7.8113 Å, b = 7.8113 Å, c = 3.0990 Å
α = 90.00°, β = 90.00°, γ = 90.00°
Last column: nearest neighbours and their distance in Å.
Fractional coordinates of all 10 atoms:
1 Ru 0.8527 0.3527 0.5000  6 Bi 2.69-2.82
2 Ru 0.6473 0.8527 0.5000  6 Bi 2.69-2.82
3 Ru 0.1473 0.6473 0.5000  6 Bi 2.69-2.82
4 Ru 0.3527 0.1473 0.5000  6 Bi 2.69-2.82
5 Bi 0.8458 0.6542 0.0000  6 Ru 2.69-2.82, 2 Re 2.96
6 Bi 0.3458 0.8458 0.0000  6 Ru 2.69-2.82, 2 Re 2.96
7 Bi 0.1542 0.3458 0.0000  6 Ru 2.69-2.82, 2 Re 2.96
8 Bi 0.6542 0.1542 0.0000  6 Ru 2.69-2.82, 2 Re 2.96
9 Re 0.0000 0.0000 0.0000  4 Bi 2.96, 2 Re 3.10
10 Re 0.5000 0.5000 0.0000  4 Bi 2.96, 2 Re 3.10


Computed, not measured: crystalline TaNiRu at its relaxed geometry at the PBE-GGA level of DFT.

Final energy ... -9.162 eV/atom
Symmetry ... C2 (5)
DFT formation energy ... -0.1923 eV per atom

a = 5.9590 Å, b = 4.8143 Å, c = 7.8445 Å
α = 90.00°, β = 129.15°, γ = 90.00°
Last column: nearest neighbours and their distance in Å.
Fractional coordinates of all 12 atoms:
1 Ta 0.5000 0.7284 0.0000  2 Ru 2.53, 4 Ni 2.58-2.64
2 Ta 0.0000 0.4559 0.0000  2 Ni 2.54, 6 Ru 2.65-2.81
3 Ta 0.0000 0.9559 0.5000  2 Ni 2.54, 6 Ru 2.65-2.81
4 Ta 0.5000 0.2284 0.5000  2 Ru 2.53, 4 Ni 2.58-2.64
5 Ni 0.5426 0.1905 0.8555  3 Ta 2.54-2.64, 2 Ru 2.56-2.80, 3 Ni 2.62-2.78
6 Ni 0.5426 0.6905 0.3555  3 Ta 2.54-2.64, 2 Ru 2.56-2.80, 3 Ni 2.62-2.78
7 Ni 0.4574 0.6905 0.6445  3 Ta 2.54-2.64, 2 Ru 2.56-2.80, 3 Ni 2.62-2.78
8 Ni 0.4574 0.1905 0.1445  3 Ta 2.54-2.64, 2 Ru 2.56-2.80, 3 Ni 2.62-2.78
9 Ru 0.9312 0.9430 0.8022  4 Ta 2.53-2.81, 2 Ni 2.56-2.80, 3 Ru 2.66-2.83
10 Ru 0.0688 0.4430 0.6978  4 Ta 2.53-2.81, 2 Ni 2.56-2.80, 3 Ru 2.66-2.83
11 Ru 0.9312 0.4430 0.3022  4 Ta 2.53-2.81, 2 Ni 2.56-2.80, 3 Ru 2.66-2.83
12 Ru 0.0688 0.9430 0.1978  4 Ta 2.53-2.81, 2 Ni 2.56-2.80, 3 Ru 2.66-2.83


Computed, not measured: crystalline DySbPd5 at its relaxed geometry at the PBE-GGA level of DFT.

Final energy ... -5.480 eV/atom
Symmetry ... Imma (74)
ΔE_f (raw) ... -3.7 eV per formula unit

a = 7.0048 Å, b = 7.0048 Å, c = 8.3633 Å
α = 53.35°, β = 53.35°, γ = 66.02°
Last column: nearest neighbours and their distance in Å.
Fractional coordinates of all 14 atoms:
1 Pd 0.5000 0.0000 0.2487  2 Sb 2.81, 6 Pd 2.82-2.98, 2 Dy 3.00
2 Pd 0.1906 0.2113 0.0491  2 Sb 2.67, 1 Dy 2.81, 6 Pd 2.82-2.90
3 Pd 0.8094 0.7887 0.9510  2 Sb 2.67, 1 Dy 2.81, 6 Pd 2.82-2.90
4 Pd 0.2113 0.1906 0.5490  2 Sb 2.67, 1 Dy 2.81, 6 Pd 2.82-2.90
5 Pd 0.5000 0.0000 0.7513  2 Sb 2.81, 6 Pd 2.82-2.98, 2 Dy 3.00
6 Pd 0.3094 0.6906 0.7500  1 Dy 2.72, 8 Pd 2.82-2.98
7 Pd 0.7887 0.8094 0.4510  2 Sb 2.67, 1 Dy 2.81, 6 Pd 2.82-2.90
8 Pd 0.0000 0.5000 0.2513  2 Sb 2.81, 6 Pd 2.82-2.98, 2 Dy 3.00
9 Pd 0.6906 0.3094 0.2500  1 Dy 2.72, 8 Pd 2.82-2.98
10 Pd 0.0000 0.5000 0.7487  2 Sb 2.81, 6 Pd 2.82-2.98, 2 Dy 3.00
11 Sb 0.0000 0.0000 0.5000  8 Pd 2.67-2.81
12 Sb 0.0000 0.0000 0.0000  8 Pd 2.67-2.81
13 Dy 0.6655 0.3345 0.7500  7 Pd 2.72-3.00
14 Dy 0.3345 0.6655 0.2500  7 Pd 2.72-3.00


Computed, not measured: crystalline Mn3CrIn at its relaxed geometry at the PBE-GGA level of DFT.

Final energy ... -7.151 eV/atom
Symmetry ... Pm-3m (221)
DFT formation energy ... 0.8236 eV per atom

a = 4.3811 Å, b = 4.3811 Å, c = 4.3811 Å
α = 90.00°, β = 90.00°, γ = 90.00°
Last column: nearest neighbours and their distance in Å.
Fractional coordinates of all 5 atoms:
1 Mn 0.5000 0.0000 0.0000  2 Cr 2.19
2 Mn 0.0000 0.5000 0.0000  2 Cr 2.19
3 Mn 0.0000 0.0000 0.5000  2 Cr 2.19
4 Cr 0.0000 0.0000 0.0000  6 Mn 2.19
5 In 0.5000 0.5000 0.5000  12 Mn 3.10


Computed, not measured: crystalline Ta2BeCrBi at its relaxed geometry at the PBE-GGA level of DFT.

Final energy ... -7.156 eV/atom
Symmetry ... P4/mmm (123)
DFT formation energy ... 1.0310 eV per atom

a = 4.4674 Å, b = 4.6501 Å, c = 4.4674 Å
α = 90.00°, β = 90.00°, γ = 90.00°
Last column: nearest neighbours and their distance in Å.
Fractional coordinates of all 5 atoms:
1 Ta 0.0000 0.0000 0.5000  2 Be 2.23
2 Ta 0.5000 0.0000 0.0000  2 Be 2.23
3 Be 0.0000 0.0000 0.0000  4 Ta 2.23, 2 Bi 2.33
4 Bi 0.0000 0.5000 0.0000  2 Be 2.33
5 Cr 0.5000 0.5000 0.5000  4 Bi 3.16, 8 Ta 3.22


Computed, not measured: crystalline Ce2PuH at its relaxed geometry at the PBE-GGA level of DFT.

Final energy ... -7.347 eV/atom
Symmetry ... P4/mmm (123)

a = 3.1409 Å, b = 3.1409 Å, c = 7.7622 Å
α = 90.00°, β = 90.00°, γ = 90.00°
Last column: nearest neighbours and their distance in Å.
Fractional coordinates of all 4 atoms:
1 Ce 0.0000 0.0000 0.8111  4 H 2.66, 1 Ce 2.93
2 Ce 0.0000 0.0000 0.1889  4 H 2.66, 1 Ce 2.93
3 H 0.5000 0.5000 0.0000  8 Ce 2.66
4 Pu 0.5000 0.5000 0.5000  4 Pu 3.14, 8 Ce 3.28


Computed, not measured: crystalline Ti2CuIr at its relaxed geometry at the PBE-GGA level of DFT.

Final energy ... -7.711 eV/atom
Symmetry ... Cmcm (63)
DFT formation energy ... -0.5243 eV per atom

a = 5.3827 Å, b = 5.3827 Å, c = 4.3062 Å
α = 90.00°, β = 90.00°, γ = 107.64°
Last column: nearest neighbours and their distance in Å.
Fractional coordinates of all 8 atoms:
1 Ti 0.6220 0.8771 0.7500  4 Cu 2.62-2.76, 4 Ir 2.64-2.75
2 Ti 0.3780 0.1229 0.2500  4 Cu 2.62-2.76, 4 Ir 2.64-2.75
3 Ti 0.8771 0.6220 0.2500  4 Cu 2.62-2.76, 4 Ir 2.64-2.75
4 Ti 0.1229 0.3780 0.7500  4 Cu 2.62-2.76, 4 Ir 2.64-2.75
5 Ir 0.8699 0.1301 0.2500  8 Ti 2.64-2.75
6 Ir 0.1301 0.8699 0.7500  8 Ti 2.64-2.75
7 Cu 0.6124 0.3876 0.7500  8 Ti 2.62-2.76, 2 Cu 2.91
8 Cu 0.3876 0.6124 0.2500  8 Ti 2.62-2.76, 2 Cu 2.91